1.
{
  "formula": "CuTcAu",
  "functional": "PBE",
  "state": "relaxed",
  "e_tot_ev_per_atom": -5.51,
  "space_group": "P-6m2",
  "lattice": [[4.471, 0.000, 0.000], [-2.236, 3.872, 0.000], [0.000, 0.000, 2.632]],
  "species": ["Cu", "Tc", "Au"],
  "fractional_positions": [[0.000, 0.000, 0.000], [0.333, 0.667, 0.500], [0.667, 0.333, 0.000]]
}

2.
{
  "formula": "CuTcAu2",
  "functional": "PBE",
  "state": "relaxed",
  "e_tot_ev_per_atom": -4.98,
  "space_group": "Cmmm",
  "lattice": [[2.988, -3.913, 0.000], [2.988, 3.913, 0.000], [0.000, 0.000, 2.719]],
  "species": ["Cu", "Tc", "Au", "Au"],
  "fractional_positions": [[0.000, 0.000, 0.000], [0.500, 0.500, 0.000], [0.000, 0.500, 0.500], [0.500, 0.000, 0.500]]
}

Going through the records in order, we get energy relative to the elements values of 399, 274 meV per atom.